Mn3Tl2ZnF12 after structural relaxation, computed with PBE with a Hubbard U.

The density is 4.859 Mg/m³. As for the total energy: -5.16 eV per atom.

The structure in CIF format:
```
data_Mn3Tl2ZnF12
_space_group_name_H-M_alt 'R -3 m'
_space_group_IT_number 166
_space_group_name_Hall '-R 3 2"'
_cell_length_a 7.5963
_cell_length_b 7.5963
_cell_length_c 17.7861
_cell_angle_alpha 90.00
_cell_angle_beta 90.00
_cell_angle_gamma 120.00
loop_
_atom_site_label
_atom_site_type_symbol
_atom_site_fract_x
_atom_site_fract_y
_atom_site_fract_z
_atom_site_occupancy
Mn1 Mn 0.0000 0.5000 0.0000 1
Tl1 Tl 0.0000 0.0000 0.1153 1
Zn1 Zn 0.0000 0.0000 0.5000 1
F1 F 0.0677 0.5338 0.3570 1
F2 F 0.0712 0.5356 0.1052 1
```